# 1
LuZnAg4 after structural relaxation. Source: the Alexandria database, functional GGA-PBE.

calculated total energy = -2.938 eV per atom
total magnetic moment = 0.0 μB per formula unit
formation energy from the elements = -0.07 eV/atom

a b c (Å): 7.7797 7.7797 7.7797
angles (deg): 90.00 90.00 90.00
Space group F-43m (No. 216)
Inequivalent atoms, fractional coordinates:
Lu 0.0000 0.0000 0.0000 x4
Zn 0.2500 0.2500 0.7500 x4
Ag 0.1249 0.1249 0.3751 x16

---

# 2
Cr2FeTc after structural relaxation. Source: the Alexandria database, functional GGA-PBE.

calculated total energy = -9.305 eV per atom
total magnetic moment = 0.7 μB per formula unit
formation energy from the elements = 0.21 eV/atom

a b c (Å): 5.2296 7.2685 2.6084
angles (deg): 90.00 90.00 90.00
Space group Cmmm (No. 65)
Inequivalent atoms, fractional coordinates:
Cr 0.2500 0.2500 0.0000 x4
Fe 0.0000 0.0000 0.5000 x2
Tc 0.0000 0.5000 0.5000 x2